NiIBrO2: optimized geometry, PBE with a Hubbard U.

Cell lengths 3.8890, 3.8890, 6.3428 Å; angles 90.00, 90.00, 90.00 degrees
Element x y z (fractional)
1 O 0.0000 0.5000 0.0000
2 Br 0.0000 0.0000 0.0000
3 I 0.0000 0.0000 0.5000
4 O 0.5000 0.0000 0.0000
5 Ni 0.5000 0.5000 0.5000

Its total energy is -2.506 eV per atom. Its space group is P4/mmm.